Record 1
Zn5Sn12Au3 after structural relaxation, computed with PBE.

abc: 14.028 14.028 14.028
angles: 109.47 109.47 109.47
Positions (direct):
Sn (0.429, 0.373, 0.601)
Zn (0.250, 0.875, 0.125)
Zn (0.125, 0.375, 0.250)
Au (0.375, 0.625, 0.250)
Au (0.750, 0.875, 0.625)
Au (0.625, 0.375, 0.750)
Zn (0.000, 0.000, 0.500)
Zn (0.000, 0.500, 0.500)
Sn (0.943, 0.571, 0.172)
Sn (0.399, 0.127, 0.571)
Zn (0.375, 0.250, 0.125)
Sn (0.127, 0.399, 0.071)
Sn (0.127, 0.728, 0.557)
Sn (0.399, 0.272, 0.328)
Sn (0.228, 0.672, 0.101)
Zn (0.750, 0.125, 0.875)
Sn (0.828, 0.899, 0.272)
Sn (0.601, 0.873, 0.429)
Sn (0.672, 0.228, 0.601)
Sn (0.101, 0.172, 0.228)
Sn (0.571, 0.627, 0.399)
Au (0.125, 0.875, 0.750)
Zn (0.875, 0.250, 0.625)
Sn (0.429, 0.057, 0.328)
Zn (0.750, 0.625, 0.375)
Zn (0.625, 0.750, 0.875)
Sn (0.172, 0.071, 0.943)
Zn (0.000, 0.500, 0.000)
Sn (0.728, 0.127, 0.057)
Sn (0.873, 0.272, 0.443)
Zn (0.375, 0.125, 0.750)
Zn (0.625, 0.875, 0.250)
Sn (0.929, 0.828, 0.557)
Sn (0.899, 0.828, 0.772)
Sn (0.272, 0.873, 0.943)
Au (0.875, 0.750, 0.125)
Sn (0.557, 0.328, 0.929)
Sn (0.873, 0.601, 0.929)
Zn (0.500, 0.500, 0.000)
Au (0.250, 0.125, 0.375)
Sn (0.601, 0.728, 0.672)
Zn (0.125, 0.750, 0.375)
Sn (0.373, 0.429, 0.101)
Sn (0.272, 0.399, 0.828)
Sn (0.071, 0.172, 0.443)
Au (0.375, 0.750, 0.625)
Au (0.125, 0.250, 0.875)
Sn (0.328, 0.557, 0.429)
Zn (0.875, 0.625, 0.750)
Zn (0.000, 0.000, 0.000)
Sn (0.627, 0.571, 0.899)
Au (0.625, 0.250, 0.375)
Zn (0.500, 0.000, 0.500)
Au (0.875, 0.125, 0.250)
Sn (0.929, 0.101, 0.873)
Sn (0.828, 0.929, 0.057)
Au (0.250, 0.625, 0.875)
Zn (0.500, 0.500, 0.500)
Sn (0.328, 0.772, 0.399)
Sn (0.443, 0.772, 0.873)
Sn (0.899, 0.071, 0.627)
Sn (0.672, 0.443, 0.571)
Zn (0.250, 0.375, 0.625)
Sn (0.772, 0.443, 0.373)
Sn (0.057, 0.429, 0.828)
Au (0.750, 0.375, 0.125)
Sn (0.373, 0.943, 0.772)
Sn (0.627, 0.057, 0.228)
Sn (0.443, 0.672, 0.071)
Sn (0.071, 0.899, 0.127)
Sn (0.057, 0.627, 0.728)
Sn (0.557, 0.228, 0.127)
Sn (0.101, 0.929, 0.373)
Sn (0.772, 0.328, 0.899)
Sn (0.943, 0.373, 0.272)
Sn (0.228, 0.557, 0.627)
Zn (0.500, 0.000, 0.000)
Sn (0.728, 0.601, 0.172)
Sn (0.571, 0.943, 0.672)
Sn (0.172, 0.101, 0.728)

Properties
The energy of formation comes out at 0.070 eV per atom. The total energy comes out at -3.14 eV per atom.

Record 2
Zn2SnAu4 after structural relaxation, computed with PBE.

abc: 4.618 4.618 14.173
angles: 90.00 90.00 119.98
Positions (direct):
Zn (0.166, 0.834, 0.438)
Au (0.833, 0.167, 0.376)
Au (0.166, 0.834, 0.250)
Au (0.834, 0.166, 0.750)
Au (0.500, 0.500, 0.000)
Au (0.833, 0.167, 0.124)
Sn (0.501, 0.499, 0.750)
Zn (0.166, 0.834, 0.062)
Zn (0.834, 0.166, 0.562)
Sn (0.499, 0.501, 0.250)
Au (0.167, 0.833, 0.876)
Zn (0.834, 0.166, 0.938)
Au (0.167, 0.833, 0.624)
Au (0.500, 0.500, 0.500)

Properties
The energy of formation comes out at -0.084 eV per atom. The total energy comes out at -2.89 eV per atom.

Record 3
Zn2SnAu2 after structural relaxation, computed with PBE.

abc: 3.826 3.826 7.147
angles: 74.47 74.47 90.00
Positions (direct):
Sn (0.000, 0.000, 0.000)
Zn (0.750, 0.250, 0.500)
Au (0.609, 0.609, 0.783)
Zn (0.250, 0.750, 0.500)
Au (0.391, 0.391, 0.217)

Properties
The energy of formation comes out at -0.151 eV per atom. The total energy comes out at -2.77 eV per atom.

Record 4
ZnSn3Au2 after structural relaxation, computed with PBE.

abc: 4.562 12.071 10.680
angles: 90.00 90.00 90.00
Positions (direct):
Sn (0.750, 0.930, 0.097)
Sn (0.750, 0.943, 0.383)
Au (0.250, 0.842, 0.977)
Au (0.750, 0.342, 0.523)
Au (0.750, 0.158, 0.023)
Sn (0.250, 0.709, 0.199)
Sn (0.750, 0.209, 0.301)
Au (0.250, 0.073, 0.346)
Sn (0.750, 0.291, 0.801)
Sn (0.250, 0.791, 0.699)
Sn (0.250, 0.057, 0.617)
Sn (0.750, 0.557, 0.883)
Zn (0.750, 0.789, 0.864)
Sn (0.250, 0.443, 0.117)
Au (0.750, 0.927, 0.654)
Au (0.250, 0.658, 0.477)
Au (0.750, 0.573, 0.154)
Sn (0.750, 0.570, 0.597)
Au (0.250, 0.427, 0.846)
Zn (0.250, 0.289, 0.636)
Sn (0.250, 0.430, 0.403)
Sn (0.250, 0.070, 0.903)
Zn (0.250, 0.211, 0.136)
Zn (0.750, 0.711, 0.364)

Properties
The energy of formation comes out at -0.076 eV per atom. The total energy comes out at -3.38 eV per atom.